Density functional theory data (GGA-PBE) for ScTlP2S after structural relaxation.

Unit cell a=5.0472 b=5.0472 c=4.9598 alpha=90.00 beta=90.00 gamma=90.00
Last column: nearest neighbours and their distance in Å.
Positions (direct):
Sc 0.0000 0.0000 0.0000  2 S 2.48, 4 P 2.52
Tl 0.5000 0.5000 0.5000  8 P 3.54, 4 S 3.57
P 0.0000 0.5000 0.0000  2 Sc 2.52
P 0.5000 0.0000 0.0000  2 Sc 2.52
S 0.0000 0.0000 0.5000  2 Sc 2.48

Summary:
The value obtained for the volume is 25.3 A^3/atom. The total energy is -23.68 eV per cell. The density of states at the Fermi level comes out at 1.060 states/eV/atom. The space group is No. 123.


Density functional theory data (GGA-PBE) for Si2TcP after structural relaxation.

Unit cell a=4.0436 b=4.0436 c=6.6086 alpha=90.00 beta=90.00 gamma=90.00
Last column: nearest neighbours and their distance in Å.
Positions (direct):
Si 0.0000 0.0000 0.0000  4 Tc 2.61, 4 Si 2.61, 4 P 2.86
Si 0.0000 0.5000 0.2500  4 Si 2.61, 4 P 2.61, 4 Tc 2.86
Si 0.5000 0.0000 0.7500  4 Si 2.61, 4 P 2.61, 4 Tc 2.86
Si 0.5000 0.5000 0.5000  4 Tc 2.61, 4 Si 2.61, 4 P 2.86
Tc 0.0000 0.5000 0.7500  8 Si 2.61-2.86, 4 P 2.61
Tc 0.5000 0.0000 0.2500  8 Si 2.61-2.86, 4 P 2.61
P 0.0000 0.0000 0.5000  4 Tc 2.61, 8 Si 2.61-2.86
P 0.5000 0.5000 0.0000  4 Tc 2.61, 8 Si 2.61-2.86

Summary:
The value obtained for the volume is 13.5 A^3/atom. The total energy is -51.37 eV per cell. The density of states at the Fermi level comes out at 0.437 states/eV/atom. The space group is No. 119.